VASP calculation (PBE-GGA) on a relaxed structure of CaBeCr2.

Cell: 4.2166 4.2166 5.4957 Å, 76.26 76.26 46.54°
Element x y z (fractional)
Cr  0.0454  0.0454  0.8452
Cr  0.4546  0.4546  0.6548
Ca  0.2500  0.2500  0.2500
Be  0.7500  0.7500  0.7500

Computed properties:
energy = -5.6786 eV/atom
space group = No. 12
formation energy from the elements = 0.565 eV/atom
calculated volume = 68.51 Å³/f.u.